1.
This record from Alexandria via LeMat-Bulk describes a relaxed SrTiMo3 crystal. The functional is PBE.

Lattice parameters (Å, degrees): 4.778 4.778 4.778 90.00 90.00 90.00
Positions (direct):
1 Sr 0.000 0.000 0.000
2 Ti 0.500 0.500 0.500
3 Mo 0.000 0.500 0.500
4 Mo 0.500 0.000 0.500
5 Mo 0.500 0.500 0.000

Calculated values
The energy above the lowest structure with this stoichiometry comes out at 0.000 eV per atom. As for the formation energy from the elements: 1328 meV/atom.

2.
This record from Alexandria via LeMat-Bulk describes a relaxed Sr2TlMo crystal. The functional is PBE.

Lattice parameters (Å, degrees): 7.044 7.044 7.044 102.12 102.12 125.45
Positions (direct):
1 Sr 0.108 0.625 0.983
2 Sr 0.375 0.358 0.483
3 Sr 0.642 0.125 0.017
4 Sr 0.875 0.892 0.517
5 Tl 0.250 0.750 0.500
6 Tl 0.500 0.500 0.000
7 Mo 0.000 0.000 0.000
8 Mo 0.750 0.250 0.500

Calculated values
The energy above the lowest structure with this stoichiometry comes out at 0.352 eV per atom. As for the formation energy from the elements: 863 meV/atom.

3.
This record from Alexandria via LeMat-Bulk describes a relaxed Sr2TlMo crystal. The functional is PBE.

Lattice parameters (Å, degrees): 5.531 5.531 5.531 60.00 60.00 60.00
Positions (direct):
1 Sr 0.000 0.000 0.000
2 Sr 0.250 0.250 0.250
3 Tl 0.750 0.750 0.750
4 Mo 0.500 0.500 0.500

Calculated values
The energy above the lowest structure with this stoichiometry comes out at 0.125 eV per atom. As for the formation energy from the elements: 636 meV/atom.

4.
This record from Alexandria via LeMat-Bulk describes a relaxed Sr4TlMo crystal. The functional is PBE.

Lattice parameters (Å, degrees): 7.048 7.048 7.048 60.00 60.00 60.00
Positions (direct):
1 Sr 0.125 0.125 0.125
2 Sr 0.125 0.125 0.624
3 Sr 0.125 0.624 0.125
4 Sr 0.624 0.125 0.125
5 Tl 0.750 0.750 0.750
6 Mo 0.500 0.500 0.500

Calculated values
As for the formation energy from the elements: 962 meV/atom.

5.
This record from Alexandria via LeMat-Bulk describes a relaxed Sr2TlMo crystal. The functional is PBE.

Lattice parameters (Å, degrees): 3.947 3.903 8.194 90.00 90.06 90.00
Positions (direct):
1 Sr 0.000 0.000 0.236
2 Sr 0.000 0.000 0.764
3 Tl 0.500 0.500 0.500
4 Mo 0.500 0.500 0.000

Calculated values
The energy above the lowest structure with this stoichiometry comes out at 0.063 eV per atom. As for the formation energy from the elements: 574 meV/atom.

6.
This record from Alexandria via LeMat-Bulk describes a relaxed Sr2TlMo crystal. The functional is PBE.

Lattice parameters (Å, degrees): 3.813 3.813 8.981 90.00 90.00 90.00
Positions (direct):
1 Sr 0.000 0.000 0.000
2 Sr 0.500 0.500 0.395
3 Tl 0.000 0.000 0.644
4 Mo 0.500 0.500 0.749

Calculated values
The energy above the lowest structure with this stoichiometry comes out at 0.000 eV per atom. As for the formation energy from the elements: 511 meV/atom.

7.
This record from Alexandria via LeMat-Bulk describes a relaxed Sr3TlMo crystal. The functional is PBE.

Lattice parameters (Å, degrees): 5.782 5.782 5.782 90.00 90.00 90.00
Positions (direct):
1 Sr 0.000 0.000 0.500
2 Sr 0.000 0.500 0.000
3 Sr 0.500 0.000 0.000
4 Tl 0.500 0.500 0.500
5 Mo 0.000 0.000 0.000

Calculated values
The energy above the lowest structure with this stoichiometry comes out at 0.000 eV per atom. As for the formation energy from the elements: 714 meV/atom.

8.
This record from Alexandria via LeMat-Bulk describes a relaxed Sr2TlMo crystal. The functional is PBE.

Lattice parameters (Å, degrees): 5.001 6.799 6.799 34.98 90.00 90.00
Positions (direct):
1 Sr 0.000 0.000 0.000
2 Sr 0.500 0.305 0.305
3 Tl 0.500 0.594 0.594
4 Mo 0.000 0.708 0.708

Calculated values
The energy above the lowest structure with this stoichiometry comes out at 0.003 eV per atom. As for the formation energy from the elements: 513 meV/atom.

9.
This record from Alexandria via LeMat-Bulk describes a relaxed Sr2TlMo crystal. The functional is PBE.

Lattice parameters (Å, degrees): 5.619 5.619 4.022 90.00 90.00 90.52
Positions (direct):
1 Sr 0.000 0.500 0.000
2 Sr 0.500 0.000 0.000
3 Tl 0.000 0.000 0.500
4 Mo 0.500 0.500 0.500

Calculated values
The energy above the lowest structure with this stoichiometry comes out at 0.075 eV per atom. As for the formation energy from the elements: 585 meV/atom.

10.
This record from Alexandria via LeMat-Bulk describes a relaxed Sr2TlMo crystal. The functional is PBE.

Lattice parameters (Å, degrees): 6.649 6.649 6.649 144.99 131.03 61.60
Positions (direct):
1 Sr 0.000 0.000 0.000
2 Sr 0.709 0.209 0.500
3 Tl 0.264 0.764 0.500
4 Mo 0.439 0.439 0.000

Calculated values
The energy above the lowest structure with this stoichiometry comes out at 0.025 eV per atom. As for the formation energy from the elements: 536 meV/atom.

11.
This record from Alexandria via LeMat-Bulk describes a relaxed Sr2TlMo crystal. The functional is PBE.

Lattice parameters (Å, degrees): 10.780 10.780 10.780 19.61 19.61 19.61
Positions (direct):
1 Sr 0.243 0.243 0.243
2 Sr 0.757 0.757 0.757
3 Tl 0.000 0.000 0.000
4 Mo 0.500 0.500 0.500

Calculated values
The energy above the lowest structure with this stoichiometry comes out at 0.212 eV per atom. As for the formation energy from the elements: 723 meV/atom.

12.
This record from Alexandria via LeMat-Bulk describes a relaxed Sr2TlMo crystal. The functional is PBE.

Lattice parameters (Å, degrees): 5.646 5.646 6.701 100.25 100.25 38.64
Positions (direct):
1 Sr 0.247 0.247 0.241
2 Sr 0.753 0.753 0.759
3 Tl 0.000 0.000 0.500
4 Mo 0.500 0.500 0.000

Calculated values
The energy above the lowest structure with this stoichiometry comes out at 0.273 eV per atom. As for the formation energy from the elements: 784 meV/atom.

13.
This record from Alexandria via LeMat-Bulk describes a relaxed Sr2TlMo crystal. The functional is PBE.

Lattice parameters (Å, degrees): 3.280 3.280 10.440 90.00 90.00 90.00
Positions (direct):
1 Sr 0.000 0.000 0.234
2 Sr 0.000 0.000 0.766
3 Tl 0.500 0.500 0.500
4 Mo 0.500 0.500 0.000

Calculated values
The energy above the lowest structure with this stoichiometry comes out at 0.111 eV per atom. As for the formation energy from the elements: 622 meV/atom.

14.
This record from Alexandria via LeMat-Bulk describes a relaxed Sr2TlMo crystal. The functional is PBE.

Lattice parameters (Å, degrees): 5.667 5.667 5.667 60.00 60.00 60.00
Positions (direct):
1 Sr 0.250 0.250 0.250
2 Sr 0.750 0.750 0.750
3 Tl 0.000 0.000 0.000
4 Mo 0.500 0.500 0.500

Calculated values
The energy above the lowest structure with this stoichiometry comes out at 0.075 eV per atom. As for the formation energy from the elements: 586 meV/atom.

15.
This record from Alexandria via LeMat-Bulk describes a relaxed SrVMo3 crystal. The functional is PBE.

Lattice parameters (Å, degrees): 4.722 4.722 4.722 90.00 90.00 90.00
Positions (direct):
1 Sr 0.000 0.000 0.000
2 V 0.500 0.500 0.500
3 Mo 0.000 0.500 0.500
4 Mo 0.500 0.000 0.500
5 Mo 0.500 0.500 0.000

Calculated values
The energy above the lowest structure with this stoichiometry comes out at 0.000 eV per atom. As for the formation energy from the elements: 1181 meV/atom.

16.
This record from Alexandria via LeMat-Bulk describes a relaxed Sr2VMo crystal. The functional is PBE.

Lattice parameters (Å, degrees): 6.869 6.869 6.869 101.59 101.59 126.73
Positions (direct):
1 Sr 0.117 0.625 0.992
2 Sr 0.375 0.367 0.492
3 Sr 0.633 0.125 0.008
4 Sr 0.875 0.883 0.508
5 V 0.250 0.750 0.500
6 V 0.500 0.500 0.000
7 Mo 0.000 0.000 0.000
8 Mo 0.750 0.250 0.500

Calculated values
The energy above the lowest structure with this stoichiometry comes out at 0.260 eV per atom. As for the formation energy from the elements: 1567 meV/atom.

17.
This record from Alexandria via LeMat-Bulk describes a relaxed SrV3Mo crystal. The functional is PBE.

Lattice parameters (Å, degrees): 4.472 4.472 4.472 90.00 90.00 90.00
Positions (direct):
1 Sr 0.000 0.000 0.000
2 V 0.000 0.000 0.500
3 V 0.000 0.500 0.000
4 V 0.500 0.000 0.000
5 Mo 0.500 0.500 0.500

Calculated values
The energy above the lowest structure with this stoichiometry comes out at 1.554 eV per atom. As for the formation energy from the elements: 2574 meV/atom.

18.
This record from Alexandria via LeMat-Bulk describes a relaxed Sr2VMo crystal. The functional is PBE.

Lattice parameters (Å, degrees): 5.507 5.507 5.507 60.00 60.00 60.00
Positions (direct):
1 Sr 0.250 0.250 0.250
2 Sr 0.750 0.750 0.750
3 V 0.000 0.000 0.000
4 Mo 0.500 0.500 0.500

Calculated values
The energy above the lowest structure with this stoichiometry comes out at 0.000 eV per atom. As for the formation energy from the elements: 1307 meV/atom.

19.
This record from Alexandria via LeMat-Bulk describes a relaxed SrVMo3 crystal. The functional is PBE.

Lattice parameters (Å, degrees): 4.752 4.752 4.752 90.00 90.00 90.00
Positions (direct):
1 Sr 0.000 0.000 0.000
2 V 0.500 0.500 0.500
3 Mo 0.000 0.000 0.500
4 Mo 0.000 0.500 0.000
5 Mo 0.500 0.000 0.000

Calculated values
The energy above the lowest structure with this stoichiometry comes out at 1.895 eV per atom. As for the formation energy from the elements: 3076 meV/atom.

20.
This record from Alexandria via LeMat-Bulk describes a relaxed SrV3Mo crystal. The functional is PBE.

Lattice parameters (Å, degrees): 4.744 4.744 4.744 90.00 90.00 90.00
Positions (direct):
1 Sr 0.000 0.000 0.000
2 V 0.000 0.500 0.500
3 V 0.500 0.000 0.500
4 V 0.500 0.500 0.000
5 Mo 0.500 0.500 0.500

Calculated values
The energy above the lowest structure with this stoichiometry comes out at 0.000 eV per atom. As for the formation energy from the elements: 1020 meV/atom.